Record 1
Compound: KTm
Source: OQMD via LeMat-Bulk
Functional: PBE
Structure: relaxed

Summary:
The calculation puts the total energy at -7.02 eV for the cell shown. The value obtained for the magnetic moment is 0.6625 μB/atom. Its space-group type is P6_3/mmc (194).

a = 6.514 Å, b = 6.514 Å, c = 6.399 Å
α = 90.00°, β = 90.00°, γ = 120.00°
Fractional coordinates of all 4 atoms:
1 K 0.333 0.667 0.250
2 K 0.667 0.333 0.750
3 Tm 0.000 0.000 0.000
4 Tm 0.000 0.000 0.500



Record 2
Compound: KTm
Source: OQMD via LeMat-Bulk
Functional: PBE
Structure: relaxed

Summary:
The calculation puts the total energy at -5.96 eV for the cell shown. The value obtained for the magnetic moment is 0.0344 μB/atom. Its space-group type is P6_3/mmc (194).

a = 5.948 Å, b = 5.948 Å, c = 6.124 Å
α = 90.00°, β = 90.00°, γ = 120.00°
Fractional coordinates of all 4 atoms:
1 K 0.000 0.000 0.000
2 K 0.000 0.000 0.500
3 Tm 0.333 0.667 0.250
4 Tm 0.667 0.333 0.750



Record 3
Compound: KTm
Source: OQMD via LeMat-Bulk
Functional: PBE
Structure: relaxed

Summary:
The calculation puts the total energy at -4.48 eV for the cell shown. The value obtained for the magnetic moment is 0.0471 μB/atom. Its space-group type is P-6m2 (187).

a = 3.606 Å, b = 3.606 Å, c = 7.128 Å
α = 90.00°, β = 90.00°, γ = 120.00°
Fractional coordinates of all 2 atoms:
1 K 0.000 0.000 0.000
2 Tm 0.667 0.333 0.500



Record 4
Compound: K2Tm
Source: OQMD via LeMat-Bulk
Functional: PBE
Structure: relaxed

Summary:
The calculation puts the total energy at -18.30 eV for the cell shown. The value obtained for the magnetic moment is 0.3759 μB/atom. Its space-group type is P6_3/mmc (194).

a = 7.782 Å, b = 7.782 Å, c = 11.170 Å
α = 90.00°, β = 90.00°, γ = 120.00°
Fractional coordinates of all 12 atoms:
1 K 0.000 0.000 0.000
2 K 0.000 0.000 0.500
3 K 0.180 0.359 0.250
4 K 0.180 0.820 0.250
5 K 0.359 0.180 0.750
6 K 0.641 0.820 0.250
7 K 0.820 0.180 0.750
8 K 0.820 0.641 0.750
9 Tm 0.333 0.667 0.593
10 Tm 0.333 0.667 0.907
11 Tm 0.667 0.333 0.093
12 Tm 0.667 0.333 0.407



Record 5
Compound: K2Tm
Source: OQMD via LeMat-Bulk
Functional: PBE
Structure: relaxed

Summary:
The calculation puts the total energy at -4.34 eV for the cell shown. The value obtained for the magnetic moment is 1.0000 μB/atom. Its space-group type is Fd-3m (227).

a = 12.575 Å, b = 12.575 Å, c = 12.575 Å
α = 60.00°, β = 60.00°, γ = 60.00°
Fractional coordinates of all 6 atoms:
1 K 0.000 0.000 0.000
2 K 0.000 0.000 0.500
3 K 0.000 0.500 0.000
4 K 0.500 0.000 0.000
5 Tm 0.125 0.125 0.125
6 Tm 0.875 0.875 0.875



Record 6
Compound: K2Tm
Source: OQMD via LeMat-Bulk
Functional: PBE
Structure: relaxed

Summary:
The calculation puts the total energy at -9.00 eV for the cell shown. The value obtained for the magnetic moment is 0.4058 μB/atom. Its space-group type is Fd-3m (227).

a = 7.372 Å, b = 7.372 Å, c = 7.372 Å
α = 60.00°, β = 60.00°, γ = 60.00°
Fractional coordinates of all 6 atoms:
1 K 0.000 0.000 0.000
2 K 0.000 0.000 0.500
3 K 0.000 0.500 0.000
4 K 0.500 0.000 0.000
5 Tm 0.375 0.375 0.375
6 Tm 0.625 0.625 0.625



Record 7
Compound: K2Tm
Source: OQMD via LeMat-Bulk
Functional: PBE
Structure: relaxed

Summary:
The calculation puts the total energy at -14.51 eV for the cell shown. The value obtained for the magnetic moment is 0.3307 μB/atom. Its space-group type is Fm-3m (225).

a = 9.335 Å, b = 9.335 Å, c = 9.335 Å
α = 90.00°, β = 90.00°, γ = 90.00°
Fractional coordinates of all 12 atoms:
1 K 0.250 0.250 0.250
2 K 0.250 0.250 0.750
3 K 0.250 0.750 0.250
4 K 0.250 0.750 0.750
5 K 0.750 0.250 0.250
6 K 0.750 0.250 0.750
7 K 0.750 0.750 0.250
8 K 0.750 0.750 0.750
9 Tm 0.000 0.000 0.000
10 Tm 0.000 0.500 0.500
11 Tm 0.500 0.000 0.500
12 Tm 0.500 0.500 0.000



Record 8
Compound: KTm
Source: OQMD via LeMat-Bulk
Functional: PBE
Structure: relaxed

Summary:
The calculation puts the total energy at -12.24 eV for the cell shown. The value obtained for the magnetic moment is 0.0017 μB/atom. Its space-group type is Fm-3m (225).

a = 7.028 Å, b = 7.028 Å, c = 7.028 Å
α = 90.00°, β = 90.00°, γ = 90.00°
Fractional coordinates of all 8 atoms:
1 K 0.000 0.000 0.000
2 K 0.000 0.500 0.500
3 K 0.500 0.000 0.500
4 K 0.500 0.500 0.000
5 Tm 0.000 0.000 0.500
6 Tm 0.000 0.500 0.000
7 Tm 0.500 0.000 0.000
8 Tm 0.500 0.500 0.500



Record 9
Compound: KTm
Source: OQMD via LeMat-Bulk
Functional: PBE
Structure: relaxed

Summary:
The calculation puts the total energy at -7.71 eV for the cell shown. The value obtained for the magnetic moment is 0.9983 μB/atom. Its space-group type is F-43m (216).

a = 8.643 Å, b = 8.643 Å, c = 8.643 Å
α = 90.00°, β = 90.00°, γ = 90.00°
Fractional coordinates of all 8 atoms:
1 K 0.000 0.000 0.000
2 K 0.000 0.500 0.500
3 K 0.500 0.000 0.500
4 K 0.500 0.500 0.000
5 Tm 0.250 0.250 0.750
6 Tm 0.250 0.750 0.250
7 Tm 0.750 0.250 0.250
8 Tm 0.750 0.750 0.750



Record 10
Compound: KTmU
Source: OQMD via LeMat-Bulk
Functional: PBE
Structure: relaxed

Summary:
The calculation puts the total energy at -45.38 eV for the cell shown. For the energy above the most stable polymorph in this dataset, the calculation gives 0.000 eV/atom. The value obtained for the magnetic moment is 1.7659 μB/atom. Its space-group type is F-43m (216).

a = 8.079 Å, b = 8.079 Å, c = 8.079 Å
α = 90.00°, β = 90.00°, γ = 90.00°
Fractional coordinates of all 12 atoms:
1 K 0.000 0.000 0.000
2 K 0.000 0.500 0.500
3 K 0.500 0.000 0.500
4 K 0.500 0.500 0.000
5 Tm 0.250 0.250 0.250
6 Tm 0.250 0.750 0.750
7 Tm 0.750 0.250 0.750
8 Tm 0.750 0.750 0.250
9 U 0.000 0.000 0.500
10 U 0.000 0.500 0.000
11 U 0.500 0.000 0.000
12 U 0.500 0.500 0.500



Record 11
Compound: KYTm
Source: OQMD via LeMat-Bulk
Functional: PBE
Structure: relaxed

Summary:
The calculation puts the total energy at -34.01 eV for the cell shown. For the energy above the most stable polymorph in this dataset, the calculation gives 0.000 eV/atom. The value obtained for the magnetic moment is 0.2496 μB/atom. Its space-group type is F-43m (216).

a = 8.271 Å, b = 8.271 Å, c = 8.271 Å
α = 90.00°, β = 90.00°, γ = 90.00°
Fractional coordinates of all 12 atoms:
1 K 0.000 0.000 0.000
2 K 0.000 0.500 0.500
3 K 0.500 0.000 0.500
4 K 0.500 0.500 0.000
5 Y 0.000 0.000 0.500
6 Y 0.000 0.500 0.000
7 Y 0.500 0.000 0.000
8 Y 0.500 0.500 0.500
9 Tm 0.250 0.250 0.250
10 Tm 0.250 0.750 0.750
11 Tm 0.750 0.250 0.750
12 Tm 0.750 0.750 0.250



Record 12
Compound: KTmZn
Source: OQMD via LeMat-Bulk
Functional: PBE
Structure: relaxed

Summary:
The calculation puts the total energy at -20.80 eV for the cell shown. For the energy above the most stable polymorph in this dataset, the calculation gives 0.000 eV/atom. The value obtained for the magnetic moment is 0.0219 μB/atom. Its space-group type is F-43m (216).

a = 7.404 Å, b = 7.404 Å, c = 7.404 Å
α = 90.00°, β = 90.00°, γ = 90.00°
Fractional coordinates of all 12 atoms:
1 K 0.000 0.000 0.000
2 K 0.000 0.500 0.500
3 K 0.500 0.000 0.500
4 K 0.500 0.500 0.000
5 Tm 0.000 0.000 0.500
6 Tm 0.000 0.500 0.000
7 Tm 0.500 0.000 0.000
8 Tm 0.500 0.500 0.500
9 Zn 0.250 0.250 0.250
10 Zn 0.250 0.750 0.750
11 Zn 0.750 0.250 0.750
12 Zn 0.750 0.750 0.250